# 1
KRb2ZrGe: PBEsol geometry, SCAN. Values from VASP.

Energy of formation ... 0.534 eV/atom
Fermi-level density of states ... 2.4 states/eV/cell

Quantum ESPRESSO input file:
```
&SYSTEM
  ibrav = 0, nat = 5, ntyp = 4
/
ATOMIC_SPECIES
K 39.10 K.upf
Ge 72.64 Ge.upf
Rb 85.47 Rb.upf
Zr 91.22 Zr.upf
CELL_PARAMETERS angstrom
5.2277 0.0000 0.0000
0.0000 6.9337 0.0000
0.0000 0.0000 6.9337
ATOMIC_POSITIONS angstrom
K 2.6138 3.4669 3.4669
Ge 2.6138 0.0000 0.0000
Rb 0.0000 0.0000 3.4669
Rb 0.0000 3.4669 0.0000
Zr 0.0000 0.0000 0.0000
```

# 2
K3ReGe: PBEsol geometry, SCAN. Values from VASP.

Energy of formation ... 1.579 eV/atom
Fermi-level density of states ... 4.4 states/eV/cell

Quantum ESPRESSO input file:
```
&SYSTEM
  ibrav = 0, nat = 5, ntyp = 3
/
ATOMIC_SPECIES
Re 186.21 Re.upf
Ge 72.64 Ge.upf
K 39.10 K.upf
CELL_PARAMETERS angstrom
6.2755 0.0000 0.0000
0.0000 6.2755 0.0000
0.0000 0.0000 6.2755
ATOMIC_POSITIONS angstrom
Re 3.1378 3.1378 3.1378
Ge 0.0000 0.0000 0.0000
K 0.0000 3.1378 0.0000
K 0.0000 0.0000 3.1378
K 3.1378 0.0000 0.0000
```